Entry 1:
ScAgCl2, PBEsol geometry, DFT meta-GGA SCAN; formation energy from raw total energies = -1.037 eV/atom; E above lowest polymorph = 0.1194 eV/atom; size of the total moment = 0.001 μB per formula unit
1.0
3.268 0.000 0.000
0.000 3.268 0.000
0.000 0.000 7.291
Sc Ag Cl
1 1 2
Direct
0.000 0.000 0.000
0.500 0.500 0.252
0.000 0.000 0.447
0.500 0.500 0.808



Entry 2:
ScAgCl2, PBEsol geometry, DFT meta-GGA SCAN; formation energy from raw total energies = -1.156 eV/atom; E above lowest polymorph = 0.0000 eV/atom; size of the total moment = 0.000 μB per formula unit
1.0
5.694 0.000 0.000
0.000 3.379 0.000
-2.837 0.000 5.582
Sc Ag Cl
1 1 2
Direct
0.000 0.000 0.000
0.500 0.000 0.000
0.158 0.500 0.315
0.842 0.500 0.685



Number 1: calculated volume 19.5 Å³/atom, final energy -16.43 eV/atom, D(E_F) 1.22 states/eV per cell. Number 2: calculated volume 26.8 Å³/atom, final energy -16.55 eV/atom, D(E_F) 1.16 states/eV per cell.